(1)
Pm5Nd3Ho3 | GGA-PBE | optimized geometry

Output
The total magnetization is 0.00 μB per cell. The energy above the most stable polymorph in this dataset comes out at 418 meV per atom. As for the space group: No. 189. The calculation puts the total energy at -3.97 eV/atom.

a b c (Å): 9.7559 9.7559 5.5701
angles (deg): 90.00 90.00 120.00
Last column: nearest neighbours and their distance in Å.
Sites, in units of the cell vectors:
Pm: 0.0000 0.7314 0.0000  2 Nd 3.17, 3 Ho 3.22-3.54
Pm: 0.2686 0.2686 0.0000  2 Nd 3.17, 3 Ho 3.22-3.54
Pm: 0.3333 0.6667 0.0000  3 Ho 3.09
Pm: 0.6667 0.3333 0.0000  3 Ho 3.09
Pm: 0.7314 0.0000 0.0000  2 Nd 3.17, 3 Ho 3.22-3.54
Nd: 0.0000 0.5760 0.5000  2 Pm 3.17, 2 Ho 3.44
Nd: 0.4240 0.4240 0.5000  2 Pm 3.17, 2 Ho 3.44
Nd: 0.5760 0.0000 0.5000  2 Pm 3.17, 2 Ho 3.44
Ho: 0.0000 0.3687 0.0000  4 Pm 3.09-3.22, 2 Nd 3.44
Ho: 0.3687 0.0000 0.0000  4 Pm 3.09-3.22, 2 Nd 3.44
Ho: 0.6313 0.6313 0.0000  4 Pm 3.09-3.22, 2 Nd 3.44

---

(2)
Li2PrZn | GGA-PBE | optimized geometry

Output
The total magnetization is 0.00 μB per cell. The energy above the most stable polymorph in this dataset comes out at 0 meV per atom. As for the space group: No. 225. The calculation puts the total energy at -2.48 eV/atom.

a b c (Å): 4.8953 4.8953 4.8953
angles (deg): 60.00 60.00 60.00
Last column: nearest neighbours and their distance in Å.
Sites, in units of the cell vectors:
Li: 0.2500 0.2500 0.2500  4 Pr 3.00, 4 Zn 3.00
Li: 0.7500 0.7500 0.7500  4 Pr 3.00, 4 Zn 3.00
Pr: 0.0000 0.0000 0.0000  8 Li 3.00
Zn: 0.5000 0.5000 0.5000  8 Li 3.00

---

(3)
Zn2RuBr | GGA-PBE | optimized geometry

Output
The total magnetization is 0.54 μB per cell. Its raw formation energy is 299 meV/atom. The energy above the most stable polymorph in this dataset comes out at 180 meV per atom. As for the space group: No. 99. The calculation puts the total energy at -3.08 eV/atom.

a b c (Å): 3.3973 3.3973 6.3292
angles (deg): 90.00 90.00 90.00
Last column: nearest neighbours and their distance in Å.
Sites, in units of the cell vectors:
Zn: 0.0000 0.0000 0.0000  4 Ru 2.56
Zn: 0.5000 0.5000 0.2502  1 Ru 2.45
Ru: 0.5000 0.5000 0.8625  5 Zn 2.45-2.56
Br: 0.0000 0.0000 0.5067  6 Zn 2.90-3.21

---

(4)
AsOs3N | GGA-PBE | optimized geometry

Output
The total magnetization is 0.00 μB per cell. Its raw formation energy is 923 meV/atom. As for the space group: No. 221. The calculation puts the total energy at -8.41 eV/atom.

a b c (Å): 4.0984 4.0984 4.0984
angles (deg): 90.00 90.00 90.00
Last column: nearest neighbours and their distance in Å.
Sites, in units of the cell vectors:
As: 0.0000 0.0000 0.0000  12 Os 2.90
Os: 0.0000 0.5000 0.5000  2 N 2.05
Os: 0.5000 0.0000 0.5000  2 N 2.05
Os: 0.5000 0.5000 0.0000  2 N 2.05
N: 0.5000 0.5000 0.5000  6 Os 2.05

---

(5)
CoMoCl2 | GGA-PBE | optimized geometry

Output
The total magnetization is 2.91 μB per cell. Its raw formation energy is 497 meV/atom. The energy above the most stable polymorph in this dataset comes out at 682 meV per atom. As for the space group: No. 65. The calculation puts the total energy at -4.91 eV/atom.

a b c (Å): 3.1799 3.1799 7.9882
angles (deg): 90.00 90.00 125.46
Last column: nearest neighbours and their distance in Å.
Sites, in units of the cell vectors:
Co: 0.0000 0.0000 0.0000  4 Cl 2.43
Mo: 0.0000 0.0000 0.5000  4 Cl 2.52
Cl: 0.5000 0.5000 0.2433  2 Co 2.43, 2 Mo 2.52
Cl: 0.5000 0.5000 0.7567  2 Co 2.43, 2 Mo 2.52

---

(6)
SnCl | GGA-PBE | optimized geometry

Output
The total magnetization is 0.00 μB per cell. Its raw formation energy is -557 meV/atom. As for the space group: No. 31. The calculation puts the total energy at -3.48 eV/atom.

a b c (Å): 12.9578 5.3554 6.0080
angles (deg): 90.00 90.00 90.00
Last column: nearest neighbours and their distance in Å.
Sites, in units of the cell vectors:
Sn: 0.0000 0.0774 0.0000  1 Cl 2.49
Sn: 0.2256 0.0047 0.9501  1 Cl 2.65, 1 Sn 2.96
Sn: 0.2744 0.9953 0.4501  1 Cl 2.65, 1 Sn 2.96
Sn: 0.5000 0.9226 0.5000  1 Cl 2.49
Sn: 0.7256 0.9953 0.4501  1 Cl 2.65, 1 Sn 2.96
Sn: 0.7744 0.0047 0.9501  1 Cl 2.65, 1 Sn 2.96
Cl: 0.0000 0.1221 0.4118  1 Sn 2.49
Cl: 0.1535 0.5422 0.9540  1 Sn 2.65
Cl: 0.3465 0.4578 0.4540  1 Sn 2.65
Cl: 0.5000 0.8779 0.9118  1 Sn 2.49
Cl: 0.6535 0.4578 0.4540  1 Sn 2.65
Cl: 0.8465 0.5422 0.9540  1 Sn 2.65

---

(7)
Pu2MnB2Ir5 | GGA-PBE | optimized geometry

Output
The total magnetization is 26.66 μB per cell. As for the space group: No. 127. The calculation puts the total energy at -9.93 eV/atom.

a b c (Å): 9.4833 9.4833 3.3094
angles (deg): 90.00 90.00 90.00
Last column: nearest neighbours and their distance in Å.
Sites, in units of the cell vectors:
Pu: 0.1772 0.3228 0.0000  3 B 2.70-2.88, 6 Ir 2.90-2.95
Pu: 0.3228 0.8228 0.0000  3 B 2.70-2.88, 6 Ir 2.90-2.95
Pu: 0.6772 0.1772 0.0000  3 B 2.70-2.88, 6 Ir 2.90-2.95
Pu: 0.8228 0.6772 0.0000  3 B 2.70-2.88, 6 Ir 2.90-2.95
Mn: 0.0000 0.0000 0.0000  8 Ir 2.74
Mn: 0.5000 0.5000 0.0000  8 Ir 2.74
B: 0.1217 0.6217 0.0000  6 Ir 2.29-2.32
B: 0.3783 0.1217 0.0000  6 Ir 2.29-2.32
B: 0.6217 0.8783 0.0000  6 Ir 2.29-2.32
B: 0.8783 0.3783 0.0000  6 Ir 2.29-2.32
Ir: 0.0000 0.5000 0.5000  4 B 2.32
Ir: 0.0692 0.7807 0.5000  2 B 2.29
Ir: 0.2193 0.0692 0.5000  2 B 2.29
Ir: 0.2807 0.5692 0.5000  2 B 2.29
Ir: 0.4308 0.2807 0.5000  2 B 2.29
Ir: 0.5000 0.0000 0.5000  4 B 2.32
Ir: 0.5692 0.7193 0.5000  2 B 2.29
Ir: 0.7193 0.4308 0.5000  2 B 2.29
Ir: 0.7807 0.9308 0.5000  2 B 2.29
Ir: 0.9308 0.2193 0.5000  2 B 2.29

---

(8)
IrPbNO2 | GGA-PBE | optimized geometry

Output
The total magnetization is 3.74 μB per cell. Its raw formation energy is 1477 meV/atom. As for the space group: No. 123. The calculation puts the total energy at -4.68 eV/atom.

a b c (Å): 4.2103 4.2103 4.3736
angles (deg): 90.00 90.00 90.00
Last column: nearest neighbours and their distance in Å.
Sites, in units of the cell vectors:
Ir: 0.0000 0.0000 0.0000  4 N 2.98, 8 O 3.04
Pb: 0.5000 0.5000 0.5000  4 O 2.11, 2 N 2.19
N: 0.5000 0.5000 0.0000  2 Pb 2.19
O: 0.0000 0.5000 0.5000  2 Pb 2.11
O: 0.5000 0.0000 0.5000  2 Pb 2.11

---

(9)
TaN | GGA-PBE | optimized geometry

Output
The total magnetization is 0.00 μB per cell. Its raw formation energy is -798 meV/atom. As for the space group: No. 62. The calculation puts the total energy at -10.89 eV/atom.

a b c (Å): 8.0764 4.1678 6.0248
angles (deg): 90.00 90.00 90.00
Last column: nearest neighbours and their distance in Å.
Sites, in units of the cell vectors:
Ta: 0.0191 0.2500 0.1699  5 N 2.07-2.18
Ta: 0.2128 0.2500 0.6441  5 N 2.12-2.29
Ta: 0.2872 0.7500 0.1441  5 N 2.12-2.29
Ta: 0.4809 0.7500 0.6699  5 N 2.07-2.18
Ta: 0.5191 0.2500 0.3301  5 N 2.07-2.18
Ta: 0.7128 0.2500 0.8559  5 N 2.12-2.29
Ta: 0.7872 0.7500 0.3559  5 N 2.12-2.29
Ta: 0.9809 0.7500 0.8301  5 N 2.07-2.18
N: 0.0229 0.7500 0.1874  5 Ta 2.09-2.18
N: 0.2422 0.7500 0.7966  5 Ta 2.07-2.29
N: 0.2578 0.2500 0.2966  5 Ta 2.07-2.29
N: 0.4771 0.2500 0.6874  5 Ta 2.09-2.18
N: 0.5229 0.7500 0.3126  5 Ta 2.09-2.18
N: 0.7422 0.7500 0.7034  5 Ta 2.07-2.29
N: 0.7578 0.2500 0.2034  5 Ta 2.07-2.29
N: 0.9771 0.2500 0.8126  5 Ta 2.09-2.18

---

(10)
AcPmTlPt | GGA-PBE | optimized geometry

Output
The total magnetization is 0.00 μB per cell. As for the space group: No. 216. The calculation puts the total energy at -4.89 eV/atom.

a b c (Å): 5.4498 5.4498 5.4498
angles (deg): 60.00 60.00 60.00
Last column: nearest neighbours and their distance in Å.
Sites, in units of the cell vectors:
Ac: 0.0000 0.0000 0.0000  4 Pt 3.34, 4 Tl 3.34
Pm: 0.5000 0.5000 0.5000  4 Pt 3.34, 4 Tl 3.34
Tl: 0.2500 0.2500 0.2500  4 Ac 3.34, 4 Pm 3.34
Pt: 0.7500 0.7500 0.7500  4 Pm 3.34, 4 Ac 3.34

---

(11)
Pu2NpP | GGA-PBE | optimized geometry

Output
The total magnetization is 5.77 μB per cell. As for the space group: No. 123. The calculation puts the total energy at -12.10 eV/atom.

a b c (Å): 4.2668 4.2668 4.1581
angles (deg): 90.00 90.00 90.00
Last column: nearest neighbours and their distance in Å.
Sites, in units of the cell vectors:
Pu: 0.0000 0.5000 0.0000  4 P 2.98, 4 Np 2.98, 4 Pu 3.02
Pu: 0.5000 0.0000 0.0000  4 P 2.98, 4 Np 2.98, 4 Pu 3.02
Np: 0.0000 0.0000 0.5000  8 Pu 2.98, 4 P 3.02
P: 0.5000 0.5000 0.5000  8 Pu 2.98, 4 Np 3.02

---

(12)
AcPm3Y6Tm2 | GGA-PBE | optimized geometry

Output
The total magnetization is 0.00 μB per cell. As for the space group: No. 12. The calculation puts the total energy at -5.48 eV/atom.

a b c (Å): 6.2530 6.2530 11.9494
angles (deg): 94.98 94.98 119.97
Last column: nearest neighbours and their distance in Å.
Sites, in units of the cell vectors:
Ac: 0.0000 0.0000 0.0000  6 Tm 3.61, 6 Y 3.63
Pm: 0.1671 0.8329 0.5000  6 Y 3.58-3.60, 6 Pm 3.61-3.62
Pm: 0.5000 0.5000 0.5000  6 Y 3.58-3.60, 6 Pm 3.61
Pm: 0.8329 0.1671 0.5000  6 Y 3.58-3.60, 6 Pm 3.61-3.62
Y: 0.0843 0.4206 0.2510  3 Pm 3.58-3.60, 6 Y 3.59-3.64, 2 Tm 3.61, 1 Ac 3.63
Y: 0.2523 0.2523 0.7488  3 Pm 3.58-3.60, 6 Y 3.59-3.64, 2 Tm 3.61, 1 Ac 3.63
Y: 0.4206 0.0843 0.2510  3 Pm 3.58-3.60, 6 Y 3.59-3.64, 2 Tm 3.61, 1 Ac 3.63
Y: 0.5794 0.9157 0.7490  3 Pm 3.58-3.60, 6 Y 3.59-3.64, 2 Tm 3.61, 1 Ac 3.63
Y: 0.7477 0.7477 0.2512  3 Pm 3.58-3.60, 6 Y 3.59-3.64, 2 Tm 3.61, 1 Ac 3.63
Y: 0.9157 0.5794 0.7490  3 Pm 3.58-3.60, 6 Y 3.59-3.64, 2 Tm 3.61, 1 Ac 3.63
Tm: 0.3333 0.6667 0.0000  6 Y 3.61, 3 Ac 3.61, 3 Tm 3.61
Tm: 0.6667 0.3333 0.0000  6 Y 3.61, 3 Ac 3.61, 3 Tm 3.61

---

(13)
La4Pr2Te3N2 | GGA-PBE | optimized geometry

Output
The total magnetization is 0.00 μB per cell. Its raw formation energy is -1252 meV/atom. As for the space group: No. 139. The calculation puts the total energy at -6.28 eV/atom.

a b c (Å): 14.0500 14.0500 14.0500
angles (deg): 160.44 160.44 27.80
Last column: nearest neighbours and their distance in Å.
Sites, in units of the cell vectors:
La: 0.0853 0.5853 0.5000  2 N 2.48
La: 0.4147 0.9147 0.5000  2 N 2.48
La: 0.5853 0.0853 0.5000  2 N 2.48
La: 0.9147 0.4147 0.5000  2 N 2.48
Pr: 0.1969 0.1969 0.0000  1 N 2.38
Pr: 0.8031 0.8031 0.0000  1 N 2.38
Te: 0.3213 0.3213 0.0000  5 Pr 3.39-3.41, 4 La 3.49
Te: 0.5000 0.5000 0.0000  8 La 3.33
Te: 0.6787 0.6787 0.0000  5 Pr 3.39-3.41, 4 La 3.49
N: 0.1095 0.1095 0.0000  1 Pr 2.38, 4 La 2.48
N: 0.8905 0.8905 0.0000  1 Pr 2.38, 4 La 2.48

---

(14)
K3Nd3UTe8 | GGA-PBE | optimized geometry

Output
The total magnetization is 2.00 μB per cell. Its raw formation energy is -1248 meV/atom. As for the space group: No. 166. The calculation puts the total energy at -4.85 eV/atom.

a b c (Å): 9.9028 9.9028 9.9028
angles (deg): 54.84 54.84 54.84
Last column: nearest neighbours and their distance in Å.
Sites, in units of the cell vectors:
K: 0.0000 0.5000 0.5000  6 Te 3.55-3.57
K: 0.5000 0.0000 0.5000  6 Te 3.55-3.57
K: 0.5000 0.5000 0.0000  6 Te 3.55-3.57
Nd: 0.0000 0.0000 0.5000  6 Te 3.19
Nd: 0.0000 0.5000 0.0000  6 Te 3.19
Nd: 0.5000 0.0000 0.0000  6 Te 3.19
U: 0.5000 0.5000 0.5000  6 Te 3.10
Te: 0.2384 0.2384 0.2384  3 Nd 3.19, 3 K 3.55
Te: 0.2448 0.7312 0.7312  1 U 3.10, 2 Nd 3.19
Te: 0.2688 0.2688 0.7552  1 U 3.10, 2 Nd 3.19
Te: 0.2688 0.7552 0.2688  1 U 3.10, 2 Nd 3.19
Te: 0.7312 0.2448 0.7312  1 U 3.10, 2 Nd 3.19
Te: 0.7312 0.7312 0.2448  1 U 3.10, 2 Nd 3.19
Te: 0.7552 0.2688 0.2688  1 U 3.10, 2 Nd 3.19
Te: 0.7616 0.7616 0.7616  3 Nd 3.19, 3 K 3.55

---

(15)
LaTb2Sn | GGA-PBE | optimized geometry

Output
The total magnetization is 0.00 μB per cell. The energy above the most stable polymorph in this dataset comes out at 108 meV per atom. As for the space group: No. 123. The calculation puts the total energy at -4.87 eV/atom.

a b c (Å): 4.0765 4.0765 7.2752
angles (deg): 90.00 90.00 90.00
Last column: nearest neighbours and their distance in Å.
Sites, in units of the cell vectors:
La: 0.0000 0.0000 0.0000  8 Tb 3.56, 2 Sn 3.64
Tb: 0.5000 0.5000 0.2875  1 Tb 3.09, 4 Sn 3.27
Tb: 0.5000 0.5000 0.7125  1 Tb 3.09, 4 Sn 3.27
Sn: 0.0000 0.0000 0.5000  8 Tb 3.27, 2 La 3.64

---

(16)
Al2TcIrSe | GGA-PBE | optimized geometry

Output
The total magnetization is 0.00 μB per cell. Its raw formation energy is 887 meV/atom. As for the space group: No. 123. The calculation puts the total energy at -5.15 eV/atom.

a b c (Å): 4.7222 4.7222 4.5326
angles (deg): 90.00 90.00 90.00
Last column: nearest neighbours and their distance in Å.
Sites, in units of the cell vectors:
Al: 0.0000 0.5000 0.0000  2 Tc 2.36
Al: 0.5000 0.0000 0.0000  2 Tc 2.36
Tc: 0.0000 0.0000 0.0000  2 Se 2.27, 4 Al 2.36
Ir: 0.5000 0.5000 0.5000  8 Al 3.27, 4 Se 3.34
Se: 0.0000 0.0000 0.5000  2 Tc 2.27

---

(17)
Y2Fe2Ni15 | GGA-PBE | optimized geometry

Output
The total magnetization is 11.68 μB per cell. As for the space group: No. 166. The calculation puts the total energy at -6.34 eV/atom.

a b c (Å): 6.2755 6.2755 6.2755
angles (deg): 82.75 82.75 82.75
Last column: nearest neighbours and their distance in Å.
Sites, in units of the cell vectors:
Y: 0.1573 0.1573 0.1573  18 Ni 2.93-3.21, 1 Fe 3.02
Y: 0.8427 0.8427 0.8427  18 Ni 2.93-3.21, 1 Fe 3.02
Fe: 0.4057 0.4057 0.4057  1 Fe 2.29, 3 Ni 2.55
Fe: 0.5943 0.5943 0.5943  1 Fe 2.29, 3 Ni 2.55
Ni: 0.0000 0.5000 0.5000  8 Ni 2.39, 2 Fe 2.55
Ni: 0.1565 0.1565 0.6531  8 Ni 2.39-2.54, 1 Fe 2.59
Ni: 0.1565 0.6531 0.1565  8 Ni 2.39-2.54, 1 Fe 2.59
Ni: 0.2037 0.5000 0.7963  8 Ni 2.39-2.54
Ni: 0.2037 0.7963 0.5000  8 Ni 2.39-2.54
Ni: 0.3469 0.8435 0.8435  8 Ni 2.39-2.54, 1 Fe 2.59
Ni: 0.5000 0.0000 0.5000  8 Ni 2.39, 2 Fe 2.55
Ni: 0.5000 0.2037 0.7963  8 Ni 2.39-2.54
Ni: 0.5000 0.5000 0.0000  8 Ni 2.39, 2 Fe 2.55
Ni: 0.5000 0.7963 0.2037  8 Ni 2.39-2.54
Ni: 0.6531 0.1565 0.1565  8 Ni 2.39-2.54, 1 Fe 2.59
Ni: 0.7963 0.2037 0.5000  8 Ni 2.39-2.54
Ni: 0.7963 0.5000 0.2037  8 Ni 2.39-2.54
Ni: 0.8435 0.3469 0.8435  8 Ni 2.39-2.54, 1 Fe 2.59
Ni: 0.8435 0.8435 0.3469  8 Ni 2.39-2.54, 1 Fe 2.59

---

(18)
Be2Tl2Co | GGA-PBE | optimized geometry

Output
The total magnetization is 0.77 μB per cell. As for the space group: No. 139. The calculation puts the total energy at -3.18 eV/atom.

a b c (Å): 8.7058 8.7058 8.7058
angles (deg): 159.46 159.46 29.21
Last column: nearest neighbours and their distance in Å.
Sites, in units of the cell vectors:
Be: 0.2500 0.7500 0.5000  4 Be 2.19
Be: 0.7500 0.2500 0.5000  4 Be 2.19
Tl: 0.1026 0.1026 0.0000  4 Co 2.79, 4 Be 2.93, 4 Tl 3.10
Tl: 0.8974 0.8974 0.0000  4 Co 2.79, 4 Be 2.93, 4 Tl 3.10
Co: 0.5000 0.5000 0.0000  8 Tl 2.79, 4 Co 3.10

---

(19)
Na2AlIn | GGA-PBE | optimized geometry

Output
The total magnetization is 0.00 μB per cell. The energy above the most stable polymorph in this dataset comes out at 245 meV per atom. As for the space group: No. 122. The calculation puts the total energy at -2.03 eV/atom.

a b c (Å): 6.8158 6.8158 6.8158
angles (deg): 100.90 100.90 128.44
Last column: nearest neighbours and their distance in Å.
Sites, in units of the cell vectors:
Na: 0.1152 0.6250 0.9902  2 Na 2.97, 2 Al 3.10, 2 In 3.22
Na: 0.3750 0.3652 0.4902  2 Na 2.97, 2 Al 3.10, 2 In 3.22
Na: 0.6348 0.1250 0.0098  2 Na 2.97, 2 Al 3.10, 2 In 3.22
Na: 0.8750 0.8848 0.5098  2 Na 2.97, 2 Al 3.10, 2 In 3.22
Al: 0.0000 0.0000 0.0000  2 In 2.96, 4 Na 3.10
Al: 0.7500 0.2500 0.5000  2 In 2.96, 4 Na 3.10
In: 0.2500 0.7500 0.5000  2 Al 2.96, 4 Na 3.22
In: 0.5000 0.5000 0.0000  2 Al 2.96, 4 Na 3.22